CsK2AsAu | the Alexandria database | GGA-PBE | relaxed; offset from the most stable computed form = 0 meV per atom; DOS(E_F) = 1.249 states/eV/cell; electronic total energy = -11.836 eV/f.u.; E_form = -0.17 eV per atom
1.0
6.5133 0.0000 0.0000
0.0000 6.5133 0.0000
0.0000 0.0000 5.1088
Cs K As Au
1 2 1 1
direct
0.0000 0.0000 0.0000 Cs
0.0000 0.5000 0.5000 K
0.5000 0.0000 0.5000 K
0.5000 0.5000 0.5000 As
0.5000 0.5000 0.0000 Au